Ac3PuTc2N6: optimized geometry, PBE.

```
Ac3PuTc2N6
1.0
6.023 0.000 0.000
-3.011 5.216 0.000
0.000 0.000 6.906
Ac Pu Tc N
3 1 2 6
direct
0.000 0.000 0.000 Ac
0.333 0.667 0.678 Ac
0.667 0.333 0.322 Ac
0.000 0.000 0.500 Pu
0.333 0.667 0.191 Tc
0.667 0.333 0.809 Tc
0.169 0.339 0.300 N
0.169 0.831 0.300 N
0.339 0.169 0.700 N
0.661 0.831 0.300 N
0.831 0.169 0.700 N
0.831 0.661 0.700 N
```

=====

Ac3PuTh2N6: optimized geometry, PBE.

```
Ac3PuTh2N6
1.0
3.227 -5.586 0.000
3.227 5.586 0.000
-2.151 0.000 6.190
Ac Pu Th N
3 1 2 6
direct
0.000 0.000 0.000 Ac
0.335 0.665 0.000 Ac
0.665 0.335 0.000 Ac
0.500 0.500 0.500 Pu
0.167 0.833 0.500 Th
0.833 0.167 0.500 Th
0.102 0.429 0.288 N
0.242 0.242 0.716 N
0.429 0.102 0.288 N
0.571 0.898 0.712 N
0.758 0.758 0.284 N
0.898 0.571 0.712 N
```

=====

Ac3PuTh3N8: optimized geometry, PBE.

```
Ac3PuTh3N8
1.0
3.683 2.126 6.183
-3.683 2.126 6.183
0.000 -4.253 6.183
Ac Pu Th N
3 1 3 8
direct
0.000 0.500 0.500 Ac
0.500 0.000 0.500 Ac
0.500 0.500 0.000 Ac
0.500 0.500 0.500 Pu
0.000 0.000 0.500 Th
0.000 0.500 0.000 Th
0.500 0.000 0.000 Th
0.240 0.240 0.240 N
0.259 0.717 0.717 N
0.283 0.283 0.741 N
0.283 0.741 0.283 N
0.717 0.259 0.717 N
0.717 0.717 0.259 N
0.741 0.283 0.283 N
0.760 0.760 0.760 N
```

=====

Ac4PuTh3N8: optimized geometry, PBE.

```
Ac4PuTh3N8
1.0
3.734 2.156 6.199
-3.734 2.156 6.199
0.000 -4.311 6.199
Ac Pu Th N
4 1 3 8
direct
0.000 0.000 0.000 Ac
0.000 0.500 0.500 Ac
0.500 0.000 0.500 Ac
0.500 0.500 0.000 Ac
0.500 0.500 0.500 Pu
0.000 0.000 0.500 Th
0.000 0.500 0.000 Th
0.500 0.000 0.000 Th
0.238 0.238 0.238 N
0.241 0.736 0.736 N
0.264 0.264 0.759 N
0.264 0.759 0.264 N
0.736 0.241 0.736 N
0.736 0.736 0.241 N
0.759 0.264 0.264 N
0.762 0.762 0.762 N
```

=====

AcPuTiN3: optimized geometry, PBE.

```
AcPuTiN3
1.0
7.532 0.000 0.000
0.000 3.636 0.000
-1.403 0.000 7.754
Ac Pu Ti N
2 2 2 6
direct
0.176 0.250 0.182 Ac
0.824 0.750 0.818 Ac
0.364 0.750 0.837 Pu
0.636 0.250 0.163 Pu
0.105 0.250 0.603 Ti
0.895 0.750 0.397 Ti
0.106 0.250 0.849 N
0.158 0.750 0.517 N
0.427 0.750 0.124 N
0.573 0.250 0.876 N
0.842 0.250 0.483 N
0.894 0.750 0.151 N
```

=====

Ac3Pu2UN6: optimized geometry, PBE.

```
Ac3Pu2UN6
1.0
3.135 -5.421 0.000
3.135 5.421 0.000
-2.088 0.000 6.096
Ac Pu U N
3 2 1 6
direct
0.000 0.000 0.000 Ac
0.331 0.669 0.000 Ac
0.669 0.331 0.000 Ac
0.166 0.834 0.500 Pu
0.834 0.166 0.500 Pu
0.500 0.500 0.500 U
0.121 0.436 0.307 N
0.250 0.250 0.698 N
0.436 0.121 0.307 N
0.564 0.879 0.693 N
0.750 0.750 0.302 N
0.879 0.564 0.693 N
```

=====

Ac2PuUN6: optimized geometry, PBE.

```
Ac2PuUN6
1.0
6.124 0.000 0.000
0.000 6.062 0.000
-5.958 0.000 8.523
Ac Pu U N
4 2 2 12
direct
0.240 0.017 0.248 Ac
0.240 0.483 0.748 Ac
0.760 0.517 0.252 Ac
0.760 0.983 0.752 Ac
0.500 0.000 0.000 Pu
0.500 0.500 0.500 Pu
0.000 0.000 0.500 U
0.000 0.500 0.000 U
0.184 0.234 0.961 N
0.184 0.266 0.461 N
0.217 0.720 0.959 N
0.217 0.780 0.459 N
0.343 0.011 0.769 N
0.343 0.489 0.269 N
0.657 0.511 0.731 N
0.657 0.989 0.231 N
0.783 0.220 0.541 N
0.783 0.280 0.041 N
0.816 0.734 0.539 N
0.816 0.766 0.039 N
```

=====

AcPu2UN4: optimized geometry, PBE.

```
AcPu2UN4
1.0
6.125 0.000 0.000
0.000 3.559 0.000
-2.083 0.000 5.943
Ac Pu U N
1 2 1 4
direct
0.000 0.000 0.000 Ac
0.500 0.000 0.500 Pu
0.500 0.500 0.000 Pu
0.000 0.500 0.500 U
0.239 0.000 0.711 N
0.260 0.500 0.300 N
0.740 0.500 0.700 N
0.761 0.000 0.289 N
```

=====

Ac2PuUN5: optimized geometry, PBE.

```
Ac2PuUN5
1.0
4.173 0.000 0.000
0.000 4.173 0.000
0.000 0.000 9.067
Ac Pu U N
2 1 1 5
direct
0.000 0.000 0.224 Ac
0.000 0.000 0.776 Ac
0.500 0.500 0.000 Pu
0.500 0.500 0.500 U
0.000 0.000 0.500 N
0.000 0.500 0.000 N
0.500 0.000 0.000 N
0.500 0.500 0.279 N
0.500 0.500 0.721 N
```

=====

Ac2PuUN4: optimized geometry, PBE.

```
Ac2PuUN4
1.0
6.230 0.000 0.000
0.000 3.617 0.000
-2.091 0.000 6.105
Ac Pu U N
2 1 1 4
direct
0.000 0.000 0.000 Ac
0.500 0.500 0.000 Ac
0.000 0.500 0.500 Pu
0.500 0.000 0.500 U
0.251 0.000 0.690 N
0.287 0.500 0.310 N
0.713 0.500 0.690 N
0.749 0.000 0.310 N
```

=====

AcPu2VN4: optimized geometry, PBE.

```
AcPu2VN4
1.0
1.738 -6.033 0.000
1.738 6.033 0.000
0.000 0.000 11.840
Ac Pu V N
2 4 2 8
direct
0.090 0.910 0.750 Ac
0.910 0.090 0.250 Ac
0.370 0.630 0.542 Pu
0.370 0.630 0.958 Pu
0.630 0.370 0.042 Pu
0.630 0.370 0.458 Pu
0.172 0.828 0.250 V
0.828 0.172 0.750 V
0.000 0.000 0.000 N
0.000 0.000 0.500 N
0.259 0.741 0.122 N
0.259 0.741 0.378 N
0.416 0.584 0.750 N
0.584 0.416 0.250 N
0.741 0.259 0.622 N
0.741 0.259 0.878 N
```

=====

AcPu2WN4: optimized geometry, PBE.

```
AcPu2WN4
1.0
1.740 -6.112 0.000
1.740 6.112 0.000
0.000 0.000 12.073
Ac Pu W N
2 4 2 8
direct
0.087 0.913 0.750 Ac
0.913 0.087 0.250 Ac
0.370 0.630 0.541 Pu
0.370 0.630 0.959 Pu
0.630 0.370 0.041 Pu
0.630 0.370 0.459 Pu
0.172 0.828 0.250 W
0.828 0.172 0.750 W
0.000 0.000 0.000 N
0.000 0.000 0.500 N
0.259 0.741 0.115 N
0.259 0.741 0.385 N
0.423 0.577 0.750 N
0.577 0.423 0.250 N
0.741 0.259 0.615 N
0.741 0.259 0.885 N
```

=====

Ac2PuZrN5: optimized geometry, PBE.

```
Ac2PuZrN5
1.0
1.804 -7.277 0.000
1.804 7.277 0.000
0.000 0.000 11.248
Ac Pu Zr N
4 2 2 10
direct
0.111 0.889 0.500 Ac
0.143 0.857 0.097 Ac
0.857 0.143 0.597 Ac
0.889 0.111 0.000 Ac
0.468 0.532 0.274 Pu
0.532 0.468 0.774 Pu
0.224 0.776 0.821 Zr
0.776 0.224 0.321 Zr
0.063 0.937 0.867 N
0.277 0.723 0.459 N
0.317 0.683 0.205 N
0.371 0.629 0.811 N
0.496 0.504 0.597 N
0.504 0.496 0.097 N
0.629 0.371 0.311 N
0.683 0.317 0.705 N
0.723 0.277 0.959 N
0.937 0.063 0.367 N
```

=====

Ac2PuZrN4: optimized geometry, PBE.

```
Ac2PuZrN4
1.0
6.128 0.000 0.000
0.000 3.552 0.000
-2.040 0.000 6.063
Ac Pu Zr N
2 1 1 4
direct
0.000 0.000 0.000 Ac
0.500 0.500 0.000 Ac
0.000 0.500 0.500 Pu
0.500 0.000 0.500 Zr
0.242 0.000 0.697 N
0.273 0.500 0.297 N
0.727 0.500 0.703 N
0.758 0.000 0.303 N
```

=====

RbAcN: optimized geometry, PBE.

```
RbAcN
1.0
19.307 0.000 0.000
0.000 4.087 0.000
0.000 0.000 7.329
Rb Ac N
4 4 4
direct
0.172 0.250 0.243 Rb
0.328 0.750 0.743 Rb
0.672 0.250 0.257 Rb
0.828 0.750 0.757 Rb
0.048 0.750 0.665 Ac
0.452 0.250 0.165 Ac
0.548 0.750 0.835 Ac
0.952 0.250 0.335 Ac
0.061 0.250 0.489 N
0.439 0.750 0.989 N
0.561 0.250 0.011 N
0.939 0.750 0.511 N
```

=====

RbAcN: optimized geometry, PBE.

```
RbAcN
1.0
4.017 0.000 0.000
-2.009 3.479 0.000
0.000 0.000 7.660
Rb Ac N
1 1 1
direct
0.000 0.000 0.000 Rb
0.333 0.667 0.577 Ac
0.667 0.333 0.691 N
```

=====

Rb2AcRe2N6: optimized geometry, PBE.

```
Rb2AcRe2N6
1.0
5.704 -3.277 0.000
5.704 3.277 0.000
-4.168 0.000 6.563
Rb Ac Re N
2 1 2 6
direct
0.209 0.209 0.179 Rb
0.791 0.791 0.821 Rb
0.000 0.000 0.500 Ac
0.456 0.456 0.799 Re
0.544 0.544 0.201 Re
0.245 0.702 0.236 N
0.270 0.270 0.666 N
0.298 0.755 0.764 N
0.702 0.245 0.236 N
0.730 0.730 0.334 N
0.755 0.298 0.764 N
```

=====

RbAc2Tc2N6: optimized geometry, PBE.

```
RbAc2Tc2N6
1.0
6.392 0.000 0.000
-2.624 6.344 0.000
-3.151 -2.223 5.975
Rb Ac Tc N
1 2 2 6
direct
0.000 0.000 0.000 Rb
0.385 0.278 0.678 Ac
0.615 0.722 0.322 Ac
0.215 0.676 0.666 Tc
0.785 0.324 0.334 Tc
0.118 0.897 0.660 N
0.268 0.571 0.891 N
0.460 0.711 0.595 N
0.540 0.289 0.405 N
0.732 0.429 0.109 N
0.882 0.103 0.340 N
```

=====

Rb2AcTc2N6: optimized geometry, PBE.

```
Rb2AcTc2N6
1.0
5.678 -3.254 0.000
5.678 3.254 0.000
-4.132 0.000 6.542
Rb Ac Tc N
2 1 2 6
direct
0.209 0.209 0.178 Rb
0.791 0.791 0.822 Rb
0.000 0.000 0.500 Ac
0.455 0.455 0.798 Tc
0.545 0.545 0.202 Tc
0.244 0.702 0.235 N
0.271 0.271 0.667 N
0.298 0.756 0.765 N
0.702 0.244 0.235 N
0.729 0.729 0.333 N
0.756 0.298 0.765 N
```

=====

RbAc2U3N8: optimized geometry, PBE.

```
RbAc2U3N8
1.0
3.544 2.046 6.176
-3.544 2.046 6.176
0.000 -4.093 6.176
Rb Ac U N
1 2 3 8
direct
0.000 0.000 0.000 Rb
0.236 0.236 0.236 Ac
0.628 0.628 0.628 Ac
0.122 0.628 0.628 U
0.628 0.122 0.628 U
0.628 0.628 0.122 U
0.379 0.379 0.810 N
0.379 0.810 0.379 N
0.401 0.401 0.401 N
0.464 0.871 0.871 N
0.810 0.379 0.379 N
0.847 0.847 0.847 N
0.871 0.464 0.871 N
0.871 0.871 0.464 N
```

=====

What formation energy (no corrections) values result from the calculations? In sequence: -765 -1269 -1228 -1300 -1144 -1178 -1259 -1169 -1091 -1198 -1144 -917 -1124 -1218 -465 -465 -316 -477 -194 -1160 meV/atom.